VASP calculation (PBE) on an optimized crystal structure of Y3Ho4Sc2.

Output
ΔE to the lowest computed polymorph in eV per atom: 0.012
Energy of formation in eV/f.u.: 1.0
Total energy in eV per cell: -197.5

Unit cell a=16.2155 b=11.3166 c=5.9138 alpha=90.00 beta=96.84 gamma=90.00
Space group C2/c (No. 15)
Symmetry-distinct sites (fractional):
Y 0.0000 0.1424 0.2500 [4 per cell]
Y 0.1697 0.3468 0.0787 [8 per cell]
Ho 0.0646 0.3865 0.5459 [8 per cell]
Ho 0.2210 0.1059 0.3939 [8 per cell]
Sc 0.0994 0.1147 0.7964 [8 per cell]

VASP calculation (PBE) on an optimized crystal structure of Cu2NiOs.

Output
ΔE to the lowest computed polymorph in eV per atom: 0.081
Energy of formation in eV/f.u.: 0.9
Total energy in eV per cell: -24.3

Unit cell a=2.5413 b=3.9899 c=5.0779 alpha=90.00 beta=104.45 gamma=90.00
Space group Pm (No. 6)
Symmetry-distinct sites (fractional):
Cu 0.0000 0.0000 0.0000 [1 per cell]
Cu 0.3940 0.5000 0.7924 [1 per cell]
Ni 0.1403 0.5000 0.2906 [1 per cell]
Os 0.7357 0.0000 0.4810 [1 per cell]

VASP calculation (PBE) on an optimized crystal structure of CrSbTe2W.

Output
ΔE to the lowest computed polymorph in eV per atom: 0.000
Total energy in eV per cell: -28.2
Formation energy from raw total energies in kJ per mole of atoms: 93.0

Unit cell a=5.3312 b=5.3312 c=5.2850 alpha=90.00 beta=90.00 gamma=90.00
Space group P4/mmm (No. 123)
Symmetry-distinct sites (fractional):
Cr 0.0000 0.0000 0.0000 [1 per cell]
Sb 0.5000 0.5000 0.0000 [1 per cell]
Te 0.0000 0.5000 0.5000 [2 per cell]
W 0.5000 0.5000 0.5000 [1 per cell]

VASP calculation (PBE) on an optimized crystal structure of Cd5Hg3Pt12.

Output
Energy of formation in eV/f.u.: 9.9
Total energy in eV per cell: -544.3

Unit cell a=15.6470 b=15.6470 c=15.6470 alpha=90.00 beta=90.00 gamma=90.00
Space group Ia-3d (No. 230)
Symmetry-distinct sites (fractional):
Cd 0.0000 0.0000 0.0000 [16 per cell]
Cd 0.0000 0.2500 0.3750 [24 per cell]
Hg 0.0000 0.2500 0.1250 [24 per cell]
Pt 0.0007 0.0742 0.6524 [96 per cell]

VASP calculation (PBE) on an optimized crystal structure of LaRuRh3.

Output
ΔE to the lowest computed polymorph in eV per atom: 1.181
Energy of formation in eV/f.u.: 7.6
Total energy in eV per cell: -28.6

Unit cell a=4.8167 b=4.8167 c=4.8167 alpha=90.00 beta=90.00 gamma=90.00
Space group Pm-3m (No. 221)
Symmetry-distinct sites (fractional):
La 0.0000 0.0000 0.0000 [1 per cell]
Ru 0.5000 0.5000 0.5000 [1 per cell]
Rh 0.0000 0.0000 0.5000 [3 per cell]

VASP calculation (PBE) on an optimized crystal structure of TmZrSc2.

Output
ΔE to the lowest computed polymorph in eV per atom: 0.003
Energy of formation in eV/f.u.: 0.1
Total energy in eV per cell: -76.6

Unit cell a=3.3191 b=3.3191 c=31.8000 alpha=90.00 beta=90.00 gamma=120.00
Space group R3m (No. 160, hexagonal axes)
Symmetry-distinct sites (fractional):
Tm 0.0000 0.0000 0.0000 [3 per cell]
Zr 0.0000 0.0000 0.1654 [3 per cell]
Sc 0.0000 0.0000 0.5784 [3 per cell]
Sc 0.0000 0.0000 0.7534 [3 per cell]

Please write out number 2 again, unchanged.
VASP calculation (PBE) on an optimized crystal structure of Cu2NiOs.

Output
ΔE to the lowest computed polymorph in eV per atom: 0.081
Energy of formation in eV/f.u.: 0.9
Total energy in eV per cell: -24.3

Unit cell a=2.5413 b=3.9899 c=5.0779 alpha=90.00 beta=104.45 gamma=90.00
Space group Pm (No. 6)
Symmetry-distinct sites (fractional):
Cu 0.0000 0.0000 0.0000 [1 per cell]
Cu 0.3940 0.5000 0.7924 [1 per cell]
Ni 0.1403 0.5000 0.2906 [1 per cell]
Os 0.7357 0.0000 0.4810 [1 per cell]

Question: Among the records above, which one has the lowest total energy?
Answer: Cd5Hg3Pt12